(w)
# NdEuAu2 PBE relaxed
# DOS at the Fermi energy: 13.0 states/eV/f.u.
data_NdEuAu2
_cell_length_a 4.3564
_cell_length_b 4.3564
_cell_length_c 21.5686
_cell_angle_alpha 90.00
_cell_angle_beta 90.00
_cell_angle_gamma 120.00
_space_group_name_H-M_alt 'R -3 m'
_space_group_IT_number 166
_space_group_name_Hall '-R 3 2"'
loop_
_atom_site_label
_atom_site_fract_x
_atom_site_fract_y
_atom_site_fract_z
Nd1 0.0000 0.0000 0.0000
Eu1 0.0000 0.0000 0.5000
Au1 0.0000 0.0000 0.2534



(x)
# NdEuAu2 PBE relaxed
# DOS at the Fermi energy: 8.8 states/eV/f.u.
data_NdEuAu2
_cell_length_a 3.741
_cell_length_b 3.741
_cell_length_c 7.451
_cell_angle_alpha 90.00
_cell_angle_beta 90.00
_cell_angle_gamma 90.00
_space_group_name_H-M_alt 'P 4/m m m'
_space_group_IT_number 123
_space_group_name_Hall '-P 4 2'
loop_
_atom_site_label
_atom_site_fract_x
_atom_site_fract_y
_atom_site_fract_z
Nd1 0.000 0.000 0.000
Eu1 0.000 0.000 0.500
Au1 0.500 0.500 0.232



(y)
# NdEuAu2 PBE relaxed
# DOS at the Fermi energy: 9.5 states/eV/f.u.
data_NdEuAu2
_cell_length_a 7.444
_cell_length_b 7.444
_cell_length_c 7.444
_cell_angle_alpha 90.00
_cell_angle_beta 90.00
_cell_angle_gamma 90.00
_space_group_name_H-M_alt 'F m -3 m'
_space_group_IT_number 225
_space_group_name_Hall '-F 4 2 3'
loop_
_atom_site_label
_atom_site_fract_x
_atom_site_fract_y
_atom_site_fract_z
Nd1 0.000 0.000 0.000
Eu1 0.000 0.000 0.500
Au1 0.250 0.250 0.250



Stability check: which of them is least stable? (w).